Entry from Alexandria: a relaxed structure of Co2Rh (PBEsol). Values from VASP.

Geometry as Quantum ESPRESSO input:
```
&SYSTEM
  ibrav = 0, nat = 6, ntyp = 2
/
ATOMIC_SPECIES
Co 58.93 Co.upf
Rh 102.91 Rh.upf
ATOMIC_POSITIONS crystal
Co 0.000 0.000 0.000
Co 0.000 0.000 0.500
Co 0.000 0.500 0.000
Co 0.500 0.000 0.000
Rh 0.375 0.375 0.375
Rh 0.625 0.625 0.625
CELL_PARAMETERS angstrom
0.000 3.271 3.271
3.271 0.000 3.271
3.271 3.271 0.000
```

Results
* energy of formation from the pure elements: 82 meV/atom

Entry from Alexandria: a relaxed structure of Co2Rh3 (PBEsol). Values from VASP.

Geometry as Quantum ESPRESSO input:
```
&SYSTEM
  ibrav = 0, nat = 5, ntyp = 2
/
ATOMIC_SPECIES
Co 58.93 Co.upf
Rh 102.91 Rh.upf
ATOMIC_POSITIONS crystal
Co 0.107 0.107 0.405
Co 0.893 0.893 0.595
Rh 0.308 0.308 0.215
Rh 0.500 0.500 0.000
Rh 0.692 0.692 0.785
CELL_PARAMETERS angstrom
4.315 -1.313 0.000
4.315 1.313 0.000
-3.259 0.000 5.431
```

Results
* E above lowest polymorph: 0.0000 eV/atom
* energy of formation from the pure elements: 63 meV/atom

no.,total magnetization (μB per formula unit)
1,4.51
2,3.73